(1)
Density functional theory data (GGA-PBE) for crystalline KSi2Cl at its relaxed geometry.

E_form (uncorrected)	0.6707	eV/atom
crystal system	trigonal
DFT total energy	-33.322	eV for the cell shown

Structure (CIF):
```
data_KSi2Cl
_chemical_formula_sum 'K3 Si6 Cl3'
_space_group_name_H-M_alt 'P 1'
_space_group_IT_number 1
_space_group_name_Hall 'P 1'
_cell_length_a 3.2503
_cell_length_b 3.2503
_cell_length_c 29.4977
_cell_angle_alpha 90.00
_cell_angle_beta 90.00
_cell_angle_gamma 120.00
loop_
_atom_site_label
_atom_site_fract_x
_atom_site_fract_y
_atom_site_fract_z
K1 0.0000 0.0000 0.0000
K2 0.3333 0.6667 0.6667
K3 0.6667 0.3333 0.3333
Si1 0.0000 0.0000 0.2369
Si2 0.0000 0.0000 0.7631
Si3 0.3333 0.6667 0.4298
Si4 0.3333 0.6667 0.9035
Si5 0.6667 0.3333 0.0965
Si6 0.6667 0.3333 0.5702
Cl1 0.0000 0.0000 0.5000
Cl2 0.3333 0.6667 0.1667
Cl3 0.6667 0.3333 0.8333
```


(2)
Density functional theory data (GGA-PBE) for crystalline SrInTcMo2 at its relaxed geometry.

crystal system	tetragonal
DFT total energy	-24.495	eV for the cell shown
ΔH_f (0 K)	2.39	eV per atom

Structure (CIF):
```
data_SrInTcMo2
_chemical_formula_sum 'Sr1 In1 Tc1 Mo2'
_space_group_name_H-M_alt 'P 1'
_space_group_IT_number 1
_space_group_name_Hall 'P 1'
_cell_length_a 5.0507
_cell_length_b 5.0507
_cell_length_c 5.6196
_cell_angle_alpha 90.00
_cell_angle_beta 90.00
_cell_angle_gamma 90.00
loop_
_atom_site_label
_atom_site_fract_x
_atom_site_fract_y
_atom_site_fract_z
Sr1 0.0000 0.0000 0.0000
In1 0.0000 0.0000 0.5000
Tc1 0.5000 0.5000 0.0000
Mo1 0.0000 0.5000 0.5000
Mo2 0.5000 0.0000 0.5000
```